# 1
Density functional theory data (PBE-GGA) for Tb2Ga5Pd3 after structural relaxation.

abc: 12.6215 12.6215 6.7443
angles: 90.00 90.00 159.94
Positions (direct):
1 Tb 0.0163 0.9837 0.5000
2 Tb 0.3255 0.6745 0.4763
3 Tb 0.6745 0.3255 0.9763
4 Tb 0.9837 0.0163 0.0000
5 Ga 0.1041 0.8959 0.1654
6 Ga 0.2064 0.7936 0.6720
7 Ga 0.2084 0.7916 0.2675
8 Ga 0.3774 0.6226 0.0088
9 Ga 0.4492 0.5508 0.3165
10 Ga 0.5508 0.4492 0.8165
11 Ga 0.6226 0.3774 0.5088
12 Ga 0.7916 0.2084 0.7675
13 Ga 0.7936 0.2064 0.1720
14 Ga 0.8959 0.1041 0.6654
15 Pd 0.1059 0.8941 0.7700
16 Pd 0.2748 0.7252 0.9674
17 Pd 0.4475 0.5525 0.7139
18 Pd 0.5525 0.4475 0.2139
19 Pd 0.7252 0.2748 0.4674
20 Pd 0.8941 0.1059 0.2700

As for the raw total energy: -4.752 eV per atom. For the distance to the lowest polymorph of the same formula, the calculation gives 15.7 meV per atom. The volume is 368.5 Å³/cell. The value obtained for the total moment is 0.000 μB per formula unit.

***

# 2
Density functional theory data (PBE-GGA) for Ti2MnCr after structural relaxation.

abc: 8.6651 8.6651 8.6651
angles: 18.57 18.57 18.57
Positions (direct):
1 Ti 0.0924 0.0924 0.0924
2 Ti 0.9076 0.9076 0.9076
3 Mn 0.5000 0.5000 0.5000
4 Cr 0.0000 0.0000 0.0000

As for the raw total energy: -8.250 eV per atom. The volume is 57.6 Å³/cell. The value obtained for the total moment is 0.000 μB per formula unit.